Compound: BMo2As
Source: Alexandria via LeMat-Bulk
Functional: PBE
Structure: relaxed

- Space-group type: No. 156
- Volume: 14.71 Å³/atom
- Calculated density: 7834 kg/m³
- DOS at the Fermi energy: 0.5638 states/eV/atom
- E_tot: -33.9 eV per cell

Geometry as extended XYZ:
```
4
Lattice="3.1646 0.0000 0.0000 -1.5823 2.7406 0.0000 0.0000 0.0000 6.7848" Properties=species:S:1:pos:R:3 pbc="T T T"
Mo 0.0000 1.8271 1.9136
Mo 0.0000 0.0000 4.2973
As 0.0000 1.8271 6.1308
B 1.5823 0.9135 3.0501
```



Compound: BMo2As
Source: Alexandria via LeMat-Bulk
Functional: PBE
Structure: relaxed

- Space-group type: No. 12
- Volume: 13.65 Å³/atom
- Calculated density: 8440 kg/m³
- DOS at the Fermi energy: 0.6381 states/eV/atom
- E_tot: -134.9 eV per cell

Geometry as extended XYZ:
```
16
Lattice="8.2500 0.0000 -0.0071 0.0000 3.1319 0.0000 -6.1936 0.0000 8.4611" Properties=species:S:1:pos:R:3 pbc="T T T"
As 3.9394 0.0000 5.0682
As -4.9799 1.5659 7.6163
As -1.8831 0.0000 3.3858
As 7.0362 1.5659 0.8377
B 0.3214 0.0000 4.7927
B 3.4182 1.5659 0.5622
B 1.7350 0.0000 3.6613
B -1.3618 1.5659 7.8918
Mo 0.2712 1.5659 2.9734
Mo -1.2826 1.5659 5.4174
Mo 4.8819 0.0000 1.2501
Mo 3.3389 1.5659 3.0367
Mo 0.2421 0.0000 7.2672
Mo 1.7851 1.5659 5.4806
Mo 1.8142 0.0000 1.1868
Mo -2.8256 0.0000 7.2040
```



Compound: BMo2As
Source: Alexandria via LeMat-Bulk
Functional: PBE
Structure: relaxed

- Space-group type: No. 187
- Volume: 13.69 Å³/atom
- Calculated density: 8417 kg/m³
- DOS at the Fermi energy: 0.2950 states/eV/atom
- E_tot: -33.6 eV per cell

Geometry as extended XYZ:
```
4
Lattice="-2.9522 0.3238 0.9300 1.0650 -2.7972 -0.8525 1.8102 -1.1881 6.1600" Properties=species:S:1:pos:R:3 pbc="T T T"
B -0.7080 -1.3106 3.4158
Mo 0.2339 -2.0902 1.4702
Mo 1.0282 -2.6116 4.1732
As -1.6131 -0.7165 0.3358
```



Compound: BMo2As
Source: Alexandria via LeMat-Bulk
Functional: PBE
Structure: relaxed

- Space-group type: No. 225
- Volume: 13.25 Å³/atom
- Calculated density: 8697 kg/m³
- DOS at the Fermi energy: 0.9664 states/eV/atom
- E_tot: -31.7 eV per cell

Geometry as extended XYZ:
```
4
Lattice="0.0000 2.9815 2.9815 2.9815 0.0000 2.9815 2.9815 2.9815 0.0000" Properties=species:S:1:pos:R:3 pbc="T T T"
B 0.0000 0.0000 0.0000
Mo 1.4907 1.4907 1.4907
Mo 4.4722 4.4722 4.4722
As 2.9815 2.9815 2.9815
```



Compound: BMo2As
Source: Alexandria via LeMat-Bulk
Functional: PBE
Structure: relaxed

- Space-group type: No. 8
- Volume: 13.79 Å³/atom
- Calculated density: 8359 kg/m³
- DOS at the Fermi energy: 0.5131 states/eV/atom
- E_tot: -135.9 eV per cell

Geometry as extended XYZ:
```
16
Lattice="6.6473 0.0000 0.0008 0.0000 3.1828 0.0000 -2.4285 0.0000 10.4266" Properties=species:S:1:pos:R:3 pbc="T T T"
As -1.7822 0.0000 9.2513
As -0.1849 0.0000 1.3620
As -1.3992 1.5914 6.5752
As -0.5680 1.5914 4.0380
Mo 1.4498 0.0000 3.4406
Mo 3.0764 1.5914 8.2326
Mo 1.2138 1.5914 5.8906
Mo 3.3380 0.0000 5.7589
Mo 0.2355 1.5914 8.6539
Mo 4.5522 1.5914 0.5456
Mo 4.2906 0.0000 3.0193
Mo 2.4280 0.0000 0.6773
B 2.9548 1.5914 4.1189
B 2.7622 1.5914 2.3074
B 1.7405 0.0000 9.3321
B 1.5480 0.0000 7.5206
```



Compound: BMo2As
Source: Alexandria via LeMat-Bulk
Functional: PBE
Structure: relaxed

- Space-group type: No. 164
- Volume: 13.80 Å³/atom
- Calculated density: 8351 kg/m³
- DOS at the Fermi energy: 0.7636 states/eV/atom
- E_tot: -33.6 eV per cell

Geometry as extended XYZ:
```
4
Lattice="3.1441 0.0000 0.0000 -1.5721 2.7229 0.0000 0.0000 0.0000 6.4477" Properties=species:S:1:pos:R:3 pbc="T T T"
Mo 0.0000 1.8153 4.4404
Mo 1.5721 0.9076 2.0073
B 0.0000 0.0000 3.2239
As 0.0000 0.0000 0.0000
```



Compound: BMo2As
Source: Alexandria via LeMat-Bulk
Functional: PBE
Structure: relaxed

- Space-group type: No. 122
- Volume: 17.74 Å³/atom
- Calculated density: 6496 kg/m³
- DOS at the Fermi energy: 0.8420 states/eV/atom
- E_tot: -60.5 eV per cell

Geometry as extended XYZ:
```
8
Lattice="5.0742 0.0000 0.0000 0.0000 5.0742 0.0000 2.5371 2.5371 5.5125" Properties=species:S:1:pos:R:3 pbc="T T T"
Mo 3.4323 1.2685 1.3781
Mo 3.8056 4.1789 4.1343
Mo 6.3427 5.9694 4.1343
Mo 1.6419 3.8056 1.3781
As 5.0742 2.5371 2.7562
As 0.0000 0.0000 0.0000
B 2.5371 2.5371 0.0000
B 2.5371 5.0742 2.7562
```



Compound: BMo2As
Source: Alexandria via LeMat-Bulk
Functional: PBE
Structure: relaxed

- Space-group type: No. 6
- Volume: 13.97 Å³/atom
- Calculated density: 8247 kg/m³
- DOS at the Fermi energy: 0.5273 states/eV/atom
- E_tot: -67.0 eV per cell

Geometry as extended XYZ:
```
8
Lattice="-4.7538 -1.0603 -1.8403 0.8831 -2.9371 -0.5890 -1.9699 -1.8594 6.3192" Properties=species:S:1:pos:R:3 pbc="T T T"
As -4.9531 -2.5181 5.1309
As -0.8423 -0.3905 0.6847
B -4.1897 -1.6445 1.9190
B -2.5314 -1.2799 2.5871
Mo -2.4843 -2.5287 0.6056
Mo -5.1803 -3.3563 0.6901
Mo -1.5136 -1.4184 4.8043
Mo -3.3253 -3.3138 3.2595
```



Compound: BMo2As
Source: Alexandria via LeMat-Bulk
Functional: PBE
Structure: relaxed

- Space-group type: No. 44
- Volume: 13.87 Å³/atom
- Calculated density: 8306 kg/m³
- DOS at the Fermi energy: 0.2614 states/eV/atom
- E_tot: -67.0 eV per cell

Geometry as extended XYZ:
```
8
Lattice="-1.2043 2.2685 1.9281 -2.5710 -1.7401 0.4414 4.7679 -4.8437 8.6767" Properties=species:S:1:pos:R:3 pbc="T T T"
As 0.7922 -0.8048 1.4417
As 1.2885 -2.9625 6.9648
Mo 3.6612 -3.7194 6.6627
Mo 1.0351 -3.2276 4.4438
Mo 4.1024 -3.6451 9.5255
Mo -0.6104 -1.0334 3.5091
B 3.1012 -5.3265 8.2036
B 1.4006 -0.9003 4.6087
```



Compound: BMo2As
Source: Alexandria via LeMat-Bulk
Functional: PBE
Structure: relaxed

- Space-group type: No. 166
- Volume: 14.01 Å³/atom
- Calculated density: 8228 kg/m³
- DOS at the Fermi energy: 0.6943 states/eV/atom
- E_tot: -101.3 eV per cell

Geometry as extended XYZ:
```
12
Lattice="-0.0848 -1.2461 2.9578 0.4799 -1.9119 -2.5344 18.5865 2.5406 1.6031" Properties=species:S:1:pos:R:3 pbc="T T T"
As 9.2932 1.2703 0.8015
As 15.5922 0.6491 2.4630
As 3.3894 -1.2665 -0.4365
Mo 5.0640 0.6922 0.4368
Mo 17.7467 0.6960 0.8018
Mo 7.6186 -0.6884 -0.0717
Mo 11.3630 0.0710 2.0982
Mo 1.2349 -1.3134 1.2247
Mo 13.5224 1.8484 1.1663
B 6.2989 -0.6212 1.6614
B 0.0000 0.0000 0.0000
B 12.6827 0.0038 0.3651
```



Compound: BMo2As
Source: Alexandria via LeMat-Bulk
Functional: PBE
Structure: relaxed

- Space-group type: No. 8
- Volume: 13.79 Å³/atom
- Calculated density: 8354 kg/m³
- DOS at the Fermi energy: 0.6100 states/eV/atom
- E_tot: -67.8 eV per cell

Geometry as extended XYZ:
```
8
Lattice="-0.2786 6.2599 1.2195 -0.9407 -0.6334 3.0366 5.1700 -1.6838 1.2503" Properties=species:S:1:pos:R:3 pbc="T T T"
Mo 3.6405 2.4081 3.3602
Mo 2.7889 -1.0802 2.3687
Mo 1.5259 3.5667 1.2167
Mo 0.6743 0.0784 0.2252
B 3.5423 4.1024 1.9531
B 0.4870 4.6276 2.8462
As 2.8255 1.2504 1.1361
As -0.2298 1.7756 2.0293
```



Compound: BMo2As
Source: Alexandria via LeMat-Bulk
Functional: PBE
Structure: relaxed

- Space-group type: No. 8
- Volume: 14.39 Å³/atom
- Calculated density: 8007 kg/m³
- DOS at the Fermi energy: 0.6350 states/eV/atom
- E_tot: -133.9 eV per cell

Geometry as extended XYZ:
```
16
Lattice="-2.6753 0.9671 -4.0191 2.3403 -1.0890 -1.8199 -5.4671 -13.7288 1.1846" Properties=species:S:1:pos:R:3 pbc="T T T"
Mo -2.9235 -0.8264 -3.2650
Mo -4.4869 -8.2352 -3.5826
Mo -1.7381 -4.9918 -1.9887
Mo -5.6419 -11.3117 -0.4864
Mo -4.5426 -8.6031 -0.6936
Mo -2.6236 -3.3945 -4.0831
Mo -0.6389 -2.2832 -2.1958
Mo -6.5273 -9.7144 -2.5808
B -3.4127 -10.6082 -0.7812
B -4.3971 -10.3767 -2.1856
B -1.8493 -3.1993 -0.4636
B -2.8336 -2.9679 -1.8680
As -5.9401 -12.3724 -2.9756
As -0.8925 0.0144 -1.1564
As -4.3766 -4.9636 -2.6580
As -2.4559 -7.3944 -1.4740
```



Compound: BMo2As
Source: Alexandria via LeMat-Bulk
Functional: PBE
Structure: relaxed

- Space-group type: No. 8
- Volume: 13.49 Å³/atom
- Calculated density: 8546 kg/m³
- DOS at the Fermi energy: 0.5464 states/eV/atom
- E_tot: -135.1 eV per cell

Geometry as extended XYZ:
```
16
Lattice="-2.3517 5.9475 0.4985 -2.8218 -1.1846 0.8210 3.5357 -1.4394 10.0758" Properties=species:S:1:pos:R:3 pbc="T T T"
Mo -1.6499 1.1159 2.0537
Mo -2.9796 3.5623 1.0134
Mo 1.0449 3.3083 8.3650
Mo 0.1992 3.4349 5.6408
Mo 2.4115 0.8371 9.4965
Mo -2.1338 3.4357 3.7376
Mo 1.5288 0.9885 6.6811
Mo -0.7672 0.9645 4.8691
B 0.2370 1.2686 8.7594
B -0.8458 3.2592 1.7954
B -0.4889 1.9472 7.2438
B -0.1200 2.5806 3.3110
As 0.3518 -1.2316 5.5466
As -0.0052 0.0804 0.0982
As 0.7543 0.1751 2.8455
As 1.1113 -1.1369 8.2939
```



Compound: BMoAs3
Source: Alexandria via LeMat-Bulk
Functional: PBE
Structure: relaxed

- Space-group type: No. 221
- Volume: 23.12 Å³/atom
- Calculated density: 4763 kg/m³
- DOS at the Fermi energy: 0.6907 states/eV/atom
- E_tot: -25.1 eV per cell

Geometry as extended XYZ:
```
5
Lattice="-1.8940 0.7947 4.4170 0.9315 -4.6202 1.2307 4.3902 1.3232 1.6444" Properties=species:S:1:pos:R:3 pbc="T T T"
As -0.9470 0.3974 2.2085
As 2.1951 0.6616 0.8222
As 0.4657 -2.3101 0.6154
B 1.7138 -1.2512 3.6461
Mo 0.0000 0.0000 0.0000
```



Compound: BMo2As
Source: Alexandria via LeMat-Bulk
Functional: PBE
Structure: relaxed

- Space-group type: No. 160
- Volume: 14.66 Å³/atom
- Calculated density: 7859 kg/m³
- DOS at the Fermi energy: 0.5192 states/eV/atom
- E_tot: -100.8 eV per cell

Geometry as extended XYZ:
```
12
Lattice="3.1428 0.0000 0.0000 -1.5714 2.7217 0.0000 0.0000 0.0000 20.5723" Properties=species:S:1:pos:R:3 pbc="T T T"
Mo 1.5714 0.9072 18.8728
Mo 0.0000 1.8145 16.4497
Mo 1.5714 0.9072 9.5923
Mo 0.0000 1.8145 5.1580
Mo 0.0000 0.0000 2.7349
Mo 0.0000 0.0000 12.0154
B 0.0000 1.8145 10.7368
B 0.0000 0.0000 17.5942
B 1.5714 0.9072 3.8794
As 0.0000 1.8145 13.8856
As 1.5714 0.9072 7.0282
As 0.0000 0.0000 0.1708
```



Compound: BMo2As2
Source: Alexandria via LeMat-Bulk
Functional: PBE
Structure: relaxed

- Space-group type: No. 127
- Volume: 15.23 Å³/atom
- Calculated density: 7689 kg/m³
- DOS at the Fermi energy: 0.9665 states/eV/atom
- E_tot: -67.5 eV per cell

Geometry as extended XYZ:
```
10
Lattice="-5.2339 4.2486 0.8078 -2.4437 -1.8592 -6.0554 -1.7360 -2.4126 1.4413" Properties=species:S:1:pos:R:3 pbc="T T T"
B -3.8388 1.1947 -2.6238
B 0.0000 0.0000 0.0000
Mo -3.2731 -1.7677 -3.1158
Mo -6.1405 1.7444 -0.6905
Mo -6.3587 0.0001 -3.8731
Mo -3.0549 -0.0233 0.0668
As -6.0463 2.4226 -3.2272
As -3.7437 2.4750 -0.3663
As -3.9339 -0.0856 -4.8814
As -1.6314 -0.0332 -2.0205
```



Compound: BMo2As
Source: Alexandria via LeMat-Bulk
Functional: PBE
Structure: relaxed

- Space-group type: No. 8
- Volume: 13.87 Å³/atom
- Calculated density: 8309 kg/m³
- DOS at the Fermi energy: 0.5154 states/eV/atom
- E_tot: -135.4 eV per cell

Geometry as extended XYZ:
```
16
Lattice="-2.1122 4.8817 -0.1621 -2.2919 -0.9242 2.0318 9.4141 -0.8998 10.2100" Properties=species:S:1:pos:R:3 pbc="T T T"
As 3.2204 2.7479 4.8826
As 8.7958 0.0601 9.9492
As 6.7815 1.8360 11.0035
As 2.9428 0.0479 5.8600
Mo -0.9619 4.6719 1.0401
Mo 1.2081 -0.1622 3.8076
Mo 0.7166 2.5628 4.4927
Mo 4.9514 1.7035 6.3601
Mo 6.5695 2.5750 8.5818
Mo 2.5992 3.7599 7.1609
Mo -0.9016 1.6913 2.2710
Mo 7.0611 -0.1500 7.8968
B 4.2326 2.5755 8.4647
B 0.6715 3.4875 2.3438
B 1.4428 1.7978 2.4452
B 5.0039 0.8858 8.5661
```



Compound: BMoAs2Os
Source: Alexandria via LeMat-Bulk
Functional: PBE
Structure: relaxed

- Space-group type: No. 123
- Volume: 18.90 Å³/atom
- Calculated density: 7851 kg/m³
- DOS at the Fermi energy: 0.6663 states/eV/atom
- E_tot: -32.1 eV per cell

Geometry as extended XYZ:
```
5
Lattice="4.8915 0.0000 0.0000 0.0000 3.9498 0.0000 0.0000 0.0000 4.8915" Properties=species:S:1:pos:R:3 pbc="T T T"
Mo 2.4457 1.9749 2.4457
As 0.0000 0.0000 2.4457
As 2.4457 0.0000 0.0000
B 0.0000 1.9749 0.0000
Os 0.0000 0.0000 0.0000
```



Compound: BMo2AsPt
Source: Alexandria via LeMat-Bulk
Functional: PBE
Structure: relaxed

- Space-group type: No. 123
- Volume: 16.63 Å³/atom
- Calculated density: 9440 kg/m³
- DOS at the Fermi energy: 1.2333 states/eV/atom
- E_tot: -31.9 eV per cell

Geometry as extended XYZ:
```
5
Lattice="-1.2010 -3.8709 2.4377 2.8734 -1.8290 -1.4885 2.7495 1.4034 3.5832" Properties=species:S:1:pos:R:3 pbc="T T T"
Mo -0.6005 -1.9354 1.2188
Mo 1.3747 0.7017 1.7916
B 1.4367 -0.9145 -0.7443
Pt 2.2109 -2.1482 2.2662
As 0.0000 0.0000 0.0000
```



Compound: ReBMo2As
Source: Alexandria via LeMat-Bulk
Functional: PBE
Structure: relaxed

- Space-group type: No. 123
- Volume: 21.71 Å³/atom
- Calculated density: 7095 kg/m³
- DOS at the Fermi energy: 0.8866 states/eV/atom
- E_tot: -34.3 eV per cell

Geometry as extended XYZ:
```
5
Lattice="4.8433 0.0000 0.0000 0.0000 4.6277 0.0000 0.0000 0.0000 4.8433" Properties=species:S:1:pos:R:3 pbc="T T T"
As 0.0000 2.3138 0.0000
Mo 2.4217 0.0000 0.0000
Mo 0.0000 0.0000 2.4217
B 2.4217 2.3138 2.4217
Re 0.0000 0.0000 0.0000
```